The following is a DFT calculation (GGA-PBEsol) of crystalline Ti2Ge2Ir at its relaxed geometry.

Unit cell a=6.2709 b=6.2709 c=3.8838 alpha=90.00 beta=90.00 gamma=90.00
Closest atoms and distances in Å follow each position.
Fractional positions:
Ti 0.1638 0.3362 0.0000  6 Ge 2.61-2.72, 1 Ti 2.91
Ti 0.3362 0.8362 0.0000  6 Ge 2.61-2.72, 1 Ti 2.91
Ti 0.6638 0.1638 0.0000  6 Ge 2.61-2.72, 1 Ti 2.91
Ti 0.8362 0.6638 0.0000  6 Ge 2.61-2.72, 1 Ti 2.91
Ge 0.1392 0.6392 0.5000  2 Ir 2.43, 1 Ge 2.47, 2 Ti 2.61
Ge 0.3608 0.1392 0.5000  2 Ir 2.43, 1 Ge 2.47, 2 Ti 2.61
Ge 0.6392 0.8608 0.5000  2 Ir 2.43, 1 Ge 2.47, 2 Ti 2.61
Ge 0.8608 0.3608 0.5000  2 Ir 2.43, 1 Ge 2.47, 2 Ti 2.61
Ir 0.0000 0.0000 0.5000  4 Ge 2.43
Ir 0.5000 0.5000 0.5000  4 Ge 2.43

The calculation puts the formation energy from the elements at -0.683 eV/atom. The space group is No. 127. The calculation puts the total DFT energy (no corrections) at -7.95 eV/atom.

---

The following is a DFT calculation (GGA-PBEsol) of crystalline MgHgPb at its relaxed geometry.

Unit cell a=5.0046 b=5.0046 c=3.4302 alpha=90.00 beta=90.00 gamma=120.00
Closest atoms and distances in Å follow each position.
Fractional positions:
Mg 0.0000 0.0000 0.0000  3 Hg 2.89
Hg 0.6667 0.3333 0.0015  3 Mg 2.89
Pb 0.3333 0.6667 0.5000  6 Hg 3.36, 6 Mg 3.36, 2 Pb 3.43

The calculation puts the formation energy from the elements at -0.083 eV/atom. The space group is No. 156. The calculation puts the total DFT energy (no corrections) at -2.18 eV/atom.

---

The following is a DFT calculation (GGA-PBEsol) of crystalline LaMg2Pb2 at its relaxed geometry.

Unit cell a=4.5406 b=4.5406 c=13.3203 alpha=90.00 beta=90.00 gamma=90.00
Closest atoms and distances in Å follow each position.
Fractional positions:
La 0.0000 0.0000 0.0000  8 Pb 3.54
La 0.5000 0.5000 0.5000  8 Pb 3.54
Mg 0.0000 0.5000 0.2500  4 Pb 2.92, 4 Mg 3.21
Mg 0.0000 0.5000 0.7500  4 Pb 2.92, 4 Mg 3.21
Mg 0.5000 0.0000 0.2500  4 Pb 2.92, 4 Mg 3.21
Mg 0.5000 0.0000 0.7500  4 Pb 2.92, 4 Mg 3.21
Pb 0.0000 0.0000 0.3884  4 Mg 2.92, 1 Pb 2.97
Pb 0.0000 0.0000 0.6116  4 Mg 2.92, 1 Pb 2.97
Pb 0.5000 0.5000 0.1116  4 Mg 2.92, 1 Pb 2.97
Pb 0.5000 0.5000 0.8884  4 Mg 2.92, 1 Pb 2.97

The calculation puts the formation energy from the elements at -0.337 eV/atom. The space group is No. 139. The calculation puts the total DFT energy (no corrections) at -3.69 eV/atom.

---

The following is a DFT calculation (GGA-PBEsol) of crystalline MnCr2Mo at its relaxed geometry.

Unit cell a=2.9028 b=4.0799 c=8.1485 alpha=90.00 beta=90.00 gamma=90.00
Closest atoms and distances in Å follow each position.
Fractional positions:
Mn 0.0000 0.0000 0.0000  4 Mo 2.50, 4 Cr 2.51
Mn 0.5000 0.5000 0.5000  4 Mo 2.50, 4 Cr 2.51
Cr 0.0000 0.5000 0.2488  2 Mo 2.49, 4 Cr 2.50, 2 Mn 2.51
Cr 0.0000 0.5000 0.7512  2 Mo 2.49, 4 Cr 2.50, 2 Mn 2.51
Cr 0.5000 0.0000 0.2512  2 Mo 2.49, 4 Cr 2.50, 2 Mn 2.51
Cr 0.5000 0.0000 0.7488  2 Mo 2.49, 4 Cr 2.50, 2 Mn 2.51
Mo 0.0000 0.0000 0.5000  4 Cr 2.49, 4 Mn 2.50
Mo 0.5000 0.5000 0.0000  4 Cr 2.49, 4 Mn 2.50

The calculation puts the formation energy from the elements at 0.120 eV/atom. The space group is No. 71. The calculation puts the total DFT energy (no corrections) at -10.38 eV/atom.

---

The following is a DFT calculation (GGA-PBEsol) of crystalline YMgP2 at its relaxed geometry.

Unit cell a=4.1101 b=5.3753 c=7.0363 alpha=90.00 beta=90.00 gamma=90.00
Closest atoms and distances in Å follow each position.
Fractional positions:
Y 0.0000 0.0000 0.0000  4 P 2.73
Y 0.5000 0.5000 0.0000  4 P 2.73
Mg 0.0000 0.0000 0.5000  4 P 2.68
Mg 0.5000 0.5000 0.5000  4 P 2.68
P 0.0000 0.5000 0.2559  2 Mg 2.68, 2 Y 2.73
P 0.0000 0.5000 0.7441  2 Mg 2.68, 2 Y 2.73
P 0.5000 0.0000 0.2559  2 Mg 2.68, 2 Y 2.73
P 0.5000 0.0000 0.7441  2 Mg 2.68, 2 Y 2.73

The calculation puts the formation energy from the elements at -0.690 eV/atom. The space group is No. 65. The calculation puts the total DFT energy (no corrections) at -5.72 eV/atom.

---

The following is a DFT calculation (GGA-PBEsol) of crystalline HfTl3Co at its relaxed geometry.

Unit cell a=4.8640 b=4.8640 c=4.8640 alpha=90.00 beta=90.00 gamma=90.00
Closest atoms and distances in Å follow each position.
Fractional positions:
Hf 0.0000 0.0000 0.0000  12 Tl 3.44
Tl 0.0000 0.5000 0.5000  2 Co 2.43
Tl 0.5000 0.0000 0.5000  2 Co 2.43
Tl 0.5000 0.5000 0.0000  2 Co 2.43
Co 0.5000 0.5000 0.5000  6 Tl 2.43

The calculation puts the formation energy from the elements at 0.665 eV/atom. The space group is No. 221. The calculation puts the total DFT energy (no corrections) at -4.56 eV/atom.

---

The following is a DFT calculation (GGA-PBEsol) of crystalline CuTe3 at its relaxed geometry.

Unit cell a=5.1276 b=5.1276 c=5.1276 alpha=90.00 beta=90.00 gamma=90.00
Closest atoms and distances in Å follow each position.
Fractional positions:
Cu 0.0000 0.0000 0.0000  6 Te 2.56
Te 0.0000 0.0000 0.5000  2 Cu 2.56
Te 0.0000 0.5000 0.0000  2 Cu 2.56
Te 0.5000 0.0000 0.0000  2 Cu 2.56

The space group is No. 221. The calculation puts the total DFT energy (no corrections) at -3.22 eV/atom. The formation energy (no corrections) is 0.511 eV/atom.

---

The following is a DFT calculation (GGA-PBEsol) of crystalline Re2MoP at its relaxed geometry.

Unit cell a=6.0944 b=6.0944 c=6.0944 alpha=90.00 beta=90.00 gamma=90.00
Closest atoms and distances in Å follow each position.
Fractional positions:
Re 0.0000 0.0000 0.0000  4 Mo 2.64, 4 Re 2.64
Re 0.0000 0.5000 0.5000  4 Re 2.64, 4 Mo 2.64
Re 0.2500 0.2500 0.2500  4 Re 2.64, 4 P 2.64
Re 0.2500 0.7500 0.7500  4 Re 2.64, 4 P 2.64
Re 0.5000 0.0000 0.5000  4 Re 2.64, 4 Mo 2.64
Re 0.5000 0.5000 0.0000  4 Re 2.64, 4 Mo 2.64
Re 0.7500 0.2500 0.7500  4 Re 2.64, 4 P 2.64
Re 0.7500 0.7500 0.2500  4 Re 2.64, 4 P 2.64
Mo 0.2500 0.2500 0.7500  4 Re 2.64, 4 P 2.64
Mo 0.2500 0.7500 0.2500  4 Re 2.64, 4 P 2.64
Mo 0.7500 0.2500 0.2500  4 Re 2.64, 4 P 2.64
Mo 0.7500 0.7500 0.7500  4 P 2.64, 4 Re 2.64
P 0.0000 0.0000 0.5000  4 Mo 2.64, 4 Re 2.64
P 0.0000 0.5000 0.0000  4 Mo 2.64, 4 Re 2.64
P 0.5000 0.0000 0.0000  4 Mo 2.64, 4 Re 2.64
P 0.5000 0.5000 0.5000  4 Mo 2.64, 4 Re 2.64

The calculation puts the formation energy from the elements at 0.254 eV/atom. The space group is No. 216. The calculation puts the total DFT energy (no corrections) at -10.80 eV/atom.

---

The following is a DFT calculation (GGA-PBEsol) of crystalline BaCrN2 at its relaxed geometry.

Unit cell a=5.1332 b=5.1332 c=9.5655 alpha=90.00 beta=90.00 gamma=90.00
Closest atoms and distances in Å follow each position.
Fractional positions:
Ba 0.0000 0.0000 0.0000  4 N 2.87
Ba 0.0000 0.5000 0.2500  4 N 2.87
Ba 0.5000 0.0000 0.7500  4 N 2.87
Ba 0.5000 0.5000 0.5000  4 N 2.87
Cr 0.0000 0.0000 0.5000  4 N 1.78
Cr 0.0000 0.5000 0.7500  4 N 1.78
Cr 0.5000 0.0000 0.2500  4 N 1.78
Cr 0.5000 0.5000 0.0000  4 N 1.78
N 0.0586 0.2500 0.6250  2 Cr 1.78
N 0.2500 0.5586 0.8750  2 Cr 1.78
N 0.2500 0.9414 0.3750  2 Cr 1.78
N 0.4414 0.2500 0.1250  2 Cr 1.78
N 0.5586 0.7500 0.1250  2 Cr 1.78
N 0.7500 0.0586 0.3750  2 Cr 1.78
N 0.7500 0.4414 0.8750  2 Cr 1.78
N 0.9414 0.7500 0.6250  2 Cr 1.78

The space group is No. 122. The calculation puts the total DFT energy (no corrections) at -8.09 eV/atom. The formation energy (no corrections) is -0.726 eV/atom.

---

The following is a DFT calculation (GGA-PBEsol) of crystalline CaTe2Rh at its relaxed geometry.

Unit cell a=3.7466 b=5.0367 c=11.2657 alpha=90.00 beta=90.00 gamma=90.00
Closest atoms and distances in Å follow each position.
Fractional positions:
Ca 0.0000 0.0000 0.0000  4 Te 3.12, 4 Rh 3.14
Ca 0.5000 0.5000 0.5000  4 Te 3.12, 4 Rh 3.14
Te 0.0000 0.5000 0.1630  2 Rh 2.62
Te 0.0000 0.5000 0.8370  2 Rh 2.62
Te 0.5000 0.0000 0.3370  2 Rh 2.62
Te 0.5000 0.0000 0.6630  2 Rh 2.62
Rh 0.0000 0.0000 0.5000  4 Te 2.62
Rh 0.5000 0.5000 0.0000  4 Te 2.62

The space group is No. 71. The calculation puts the total DFT energy (no corrections) at -4.98 eV/atom. The formation energy (no corrections) is -0.646 eV/atom.

---

The following is a DFT calculation (GGA-PBEsol) of crystalline AgSn2Ru at its relaxed geometry.

Unit cell a=6.6210 b=6.6210 c=6.6210 alpha=90.00 beta=90.00 gamma=90.00
Closest atoms and distances in Å follow each position.
Fractional positions:
Ag 0.0000 0.0000 0.0000  8 Sn 2.87
Ag 0.0000 0.5000 0.5000  8 Sn 2.87
Ag 0.5000 0.0000 0.5000  8 Sn 2.87
Ag 0.5000 0.5000 0.0000  8 Sn 2.87
Sn 0.2500 0.2500 0.2500  4 Ag 2.87, 4 Ru 2.87
Sn 0.2500 0.2500 0.7500  4 Ru 2.87, 4 Ag 2.87
Sn 0.2500 0.7500 0.2500  4 Ru 2.87, 4 Ag 2.87
Sn 0.2500 0.7500 0.7500  4 Ru 2.87, 4 Ag 2.87
Sn 0.7500 0.2500 0.2500  4 Ru 2.87, 4 Ag 2.87
Sn 0.7500 0.2500 0.7500  4 Ru 2.87, 4 Ag 2.87
Sn 0.7500 0.7500 0.2500  4 Ag 2.87, 4 Ru 2.87
Sn 0.7500 0.7500 0.7500  4 Ru 2.87, 4 Ag 2.87
Ru 0.0000 0.0000 0.5000  8 Sn 2.87
Ru 0.0000 0.5000 0.0000  8 Sn 2.87
Ru 0.5000 0.0000 0.0000  8 Sn 2.87
Ru 0.5000 0.5000 0.5000  8 Sn 2.87

The calculation puts the formation energy from the elements at 0.198 eV/atom. The space group is No. 225. The calculation puts the total DFT energy (no corrections) at -5.30 eV/atom.

---

The following is a DFT calculation (GGA-PBEsol) of crystalline PuAl4 at its relaxed geometry.

Unit cell a=7.8010 b=7.8010 c=7.8010 alpha=147.36 beta=134.14 gamma=57.42
Closest atoms and distances in Å follow each position.
Fractional positions:
Pu 0.3598 0.1098 0.2500  13 Al 2.99-3.08
Pu 0.6402 0.8902 0.7500  13 Al 2.99-3.08
Al 0.0000 0.5000 0.5000  4 Al 2.72-3.04
Al 0.1374 0.8874 0.2500  10 Al 2.86-3.08, 3 Pu 3.04
Al 0.1820 0.6988 0.4832  6 Al 2.60-2.86
Al 0.2843 0.3012 0.9832  6 Al 2.60-2.86
Al 0.5000 0.5000 0.0000  4 Al 2.72-3.04
Al 0.7157 0.6988 0.0168  6 Al 2.60-2.86
Al 0.8180 0.3012 0.5168  6 Al 2.60-2.86
Al 0.8626 0.1126 0.7500  10 Al 2.86-3.08, 3 Pu 3.04

The calculation puts the formation energy from the elements at -0.134 eV/atom. The space group is No. 74. The calculation puts the total DFT energy (no corrections) at -6.44 eV/atom.

---

The following is a DFT calculation (GGA-PBEsol) of crystalline PdWBr3 at its relaxed geometry.

Unit cell a=4.9937 b=4.9937 c=4.9937 alpha=90.00 beta=90.00 gamma=90.00
Closest atoms and distances in Å follow each position.
Fractional positions:
Pd 0.0000 0.0000 0.0000  6 Br 2.50
W 0.5000 0.5000 0.5000  12 Br 3.53
Br 0.0000 0.0000 0.5000  2 Pd 2.50
Br 0.0000 0.5000 0.0000  2 Pd 2.50
Br 0.5000 0.0000 0.0000  2 Pd 2.50

The space group is No. 221. The calculation puts the total DFT energy (no corrections) at -3.95 eV/atom. The formation energy (no corrections) is 1.124 eV/atom.

---

The following is a DFT calculation (GGA-PBEsol) of crystalline Li2As2Au at its relaxed geometry.

Unit cell a=6.6127 b=6.6127 c=4.0728 alpha=90.00 beta=90.00 gamma=90.00
Closest atoms and distances in Å follow each position.
Fractional positions:
Li 0.1676 0.3324 0.0000  6 As 2.76-2.85
Li 0.3324 0.8324 0.0000  6 As 2.76-2.85
Li 0.6676 0.1676 0.0000  6 As 2.76-2.85
Li 0.8324 0.6676 0.0000  6 As 2.76-2.85
As 0.1327 0.6327 0.5000  1 As 2.48, 2 Au 2.58, 2 Li 2.76
As 0.3673 0.1327 0.5000  1 As 2.48, 2 Au 2.58, 2 Li 2.76
As 0.6327 0.8673 0.5000  1 As 2.48, 2 Au 2.58, 2 Li 2.76
As 0.8673 0.3673 0.5000  1 As 2.48, 2 Au 2.58, 2 Li 2.76
Au 0.0000 0.0000 0.5000  4 As 2.58
Au 0.5000 0.5000 0.5000  4 As 2.58

The calculation puts the formation energy from the elements at -0.417 eV/atom. The space group is No. 127. The calculation puts the total DFT energy (no corrections) at -4.03 eV/atom.